VASP calculation (GGA+U) on a relaxed K3CdNi2F9 crystal.

extended XYZ file:
```
15
Lattice="5.915 0.000 0.000 -2.958 5.123 0.000 0.000 0.000 7.296" Properties=species:S:1:pos:R:3 pbc="T T T"
K 0.000 0.000 0.000
K 0.000 3.415 4.928
K 2.958 1.708 2.367
Cd 0.000 0.000 3.648
Ni 0.000 3.415 1.139
Ni 2.958 1.708 6.156
F -1.479 2.561 0.000
F 0.000 1.789 2.325
F -1.409 4.228 2.325
F 1.549 0.894 4.971
F 2.958 0.000 0.000
F 1.479 2.561 0.000
F 1.409 4.228 2.325
F 4.366 0.894 4.971
F 2.958 3.334 4.971
```

VASP energy = -0.15468 Ha/atom